{"formula": "Ba2NaCSe", "functional": "GGA-PBE", "state": "relaxed", "lattice_angstrom": [[5.833, 0.000, 0.000], [0.000, 4.490, 0.000], [0.000, 0.000, 5.833]], "species": ["C", "Na", "Ba", "Ba", "Se"], "frac_coords": [[0.000, 0.000, 0.000], [0.500, 0.500, 0.500], [0.000, 0.000, 0.500], [0.500, 0.000, 0.000], [0.000, 0.500, 0.000]], "total_magnetization_mub_per_atom": 0.00, "formation_energy_uncorrected_mev_per_atom": 211, "density_g_cm3": 4.22, "space_group": "P4/mmm, No. 123"}

***

{"formula": "Ba2NbC", "functional": "GGA-PBE", "state": "relaxed", "lattice_angstrom": [[-3.334, 2.371, -10.760], [6.265, -8.840, -3.889], [-0.198, -4.515, -7.092]], "species": ["Ba", "Ba", "Ba", "Ba", "Nb", "Nb", "C", "C"], "frac_coords": [[0.375, 0.554, 0.750], [0.875, 0.696, 0.750], [0.304, 0.625, 0.250], [0.446, 0.125, 0.250], [0.750, 0.250, 0.500], [0.000, 0.000, 0.000], [0.500, 0.500, 0.000], [0.250, 0.750, 0.500]], "total_magnetization_mub_per_atom": 0.25, "density_g_cm3": 4.50, "space_group": "I-42d, No. 122", "final_energy_ev_per_atom": -5.161}

***

{"formula": "BaNb2C", "functional": "GGA-PBE", "state": "relaxed", "lattice_angstrom": [[-1.080, -6.391, 1.539], [5.820, -1.655, -2.788], [4.532, -3.392, 3.513]], "species": ["Ba", "Ba", "Nb", "Nb", "Nb", "Nb", "C", "C"], "frac_coords": [[0.000, 0.000, 0.000], [0.750, 0.250, 0.500], [0.375, 0.625, 0.750], [0.875, 0.625, 0.750], [0.375, 0.125, 0.250], [0.375, 0.625, 0.250], [0.500, 0.500, 0.000], [0.250, 0.750, 0.500]], "total_magnetization_mub_per_atom": 0.00, "density_g_cm3": 5.32, "space_group": "Fd-3m, No. 227", "final_energy_ev_per_atom": -7.217}

***

{"formula": "BaNbRhC2", "functional": "GGA-PBE", "state": "relaxed", "lattice_angstrom": [[4.343, 0.000, 0.000], [0.000, 5.072, 0.000], [0.000, 0.000, 4.343]], "species": ["Rh", "Ba", "C", "C", "Nb"], "frac_coords": [[0.000, 0.500, 0.000], [0.500, 0.500, 0.500], [0.000, 0.000, 0.500], [0.500, 0.000, 0.000], [0.000, 0.000, 0.000]], "total_magnetization_mub_per_atom": 0.00, "density_g_cm3": 6.20, "space_group": "P4/mmm, No. 123", "final_energy_ev_per_atom": -6.535}

***

{"formula": "BaNbSbC2", "functional": "GGA-PBE", "state": "relaxed", "lattice_angstrom": [[-1.846, 1.684, 3.705], [-4.635, 1.018, -2.773], [-1.536, -4.055, 1.078]], "species": ["C", "C", "Ba", "Sb", "Nb"], "frac_coords": [[0.000, 0.000, 0.500], [0.500, 0.000, 0.000], [0.500, 0.500, 0.500], [0.000, 0.500, 0.000], [0.000, 0.000, 0.000]], "total_magnetization_mub_per_atom": 0.00, "formation_energy_uncorrected_mev_per_atom": 905, "e_above_lowest_polymorph_mev_per_atom": 0, "density_g_cm3": 5.69, "space_group": "P4/mmm, No. 123"}

***

{"formula": "BaNbSbC2", "functional": "GGA-PBE", "state": "relaxed", "lattice_angstrom": [[4.571, 0.000, 0.000], [0.000, 5.978, 0.000], [0.000, 0.000, 4.571]], "species": ["C", "C", "Nb", "Ba", "Sb"], "frac_coords": [[0.500, 0.000, 0.000], [0.000, 0.000, 0.500], [0.000, 0.500, 0.000], [0.000, 0.000, 0.000], [0.500, 0.500, 0.500]], "total_magnetization_mub_per_atom": 0.19, "formation_energy_uncorrected_mev_per_atom": 3040, "e_above_lowest_polymorph_mev_per_atom": 2135, "density_g_cm3": 5.00, "space_group": "P4/mmm, No. 123"}